(1)
# HfScBi

HfScBi after structural relaxation (PBE-GGA, Alexandria via LeMat-Bulk).

- ΔH_f (0 K) (kJ per mole of atoms) = -26.09
- space group = I4mm
- crystal system = tetragonal
- DFT total energy (eV/cell) = -20.977
- magnetization (μB per formula unit) = 0.0
- calculated volume (Å³/cell) = 70.5

The structure in POSCAR format:
```
HfScBi
1.0
-1.877 1.877 5.002
1.877 -1.877 5.002
1.877 1.877 -5.002
Hf Sc Bi
1 1 1
Direct
0.000 0.000 0.000 Hf
0.331 0.331 0.000 Sc
0.664 0.664 0.000 Bi
```

(2)
# CrCdAg2

CrCdAg2 after structural relaxation (PBE-GGA, Alexandria via LeMat-Bulk).

- ΔH_f (0 K) (kJ per mole of atoms) = 31.33
- space group = R3m
- crystal system = trigonal
- DFT total energy (eV/cell) = -14.942
- magnetization (μB per formula unit) = 4.0
- calculated volume (Å³/cell) = 73.6

The structure in POSCAR format:
```
CrCdAg2
1.0
1.504 0.868 9.399
-1.504 0.868 9.399
0.000 -1.736 9.399
Cr Cd Ag
1 1 2
Direct
0.000 0.000 0.000 Cr
0.249 0.249 0.249 Cd
0.496 0.496 0.496 Ag
0.746 0.746 0.746 Ag
```

(3)
# PuZnCo

PuZnCo after structural relaxation (PBE-GGA, Alexandria via LeMat-Bulk).

- excess energy over the best structure of this formula in the dataset (meV/atom) = 0
- ΔH_f (0 K) (kJ per mole of atoms) = -7.67
- space group = Imma
- crystal system = orthorhombic
- DFT total energy (eV/cell) = -45.901
- magnetization (μB per formula unit) = 5.2
- calculated volume (Å³/cell) = 100.2

The structure in POSCAR format:
```
PuZnCo
1.0
-2.692 2.808 3.314
2.692 -2.808 3.314
2.692 2.808 -3.314
Pu Zn Co
2 2 2
Direct
0.344 0.094 0.250 Pu
0.656 0.906 0.750 Pu
0.000 0.500 0.500 Zn
0.500 0.500 0.000 Zn
0.000 0.000 0.500 Co
0.000 0.500 0.000 Co
```

(4)
# B

B after structural relaxation (PBE-GGA, Alexandria via LeMat-Bulk).

- excess energy over the best structure of this formula in the dataset (meV/atom) = 292
- ΔH_f (0 K) (kJ per mole of atoms) = 28.16
- space group = I4/m
- crystal system = tetragonal
- DFT total energy (eV/cell) = -51.085
- magnetization (μB per formula unit) = 0.0
- calculated volume (Å³/cell) = 61.7

The structure in POSCAR format:
```
B
1.0
-3.309 3.309 1.409
3.309 -3.309 1.409
3.309 3.309 -1.409
B
8
Direct
0.057 0.217 0.274 B
0.184 0.697 0.882 B
0.217 0.943 0.160 B
0.303 0.184 0.487 B
0.697 0.816 0.513 B
0.783 0.057 0.840 B
0.816 0.303 0.118 B
0.943 0.783 0.726 B
```